## Ti3PC (GGA-PBEsol)

Data for Ti3PC after structural relaxation.

It has space group Pm-3m (No. 221), with a = 4.0677 Å, b = 4.0677 Å, c = 4.0677 Å, α = 90.00°, β = 90.00° and γ = 90.00°. The asymmetric unit holds Ti at (0.0000, 0.0000, 0.5000), P at (0.5000, 0.5000, 0.5000) and C at (0.0000, 0.0000, 0.0000).

The calculated density is 4.60 Mg/m³. The total energy comes out at -43.3 eV/cell.